Ho2TaBiO8 | PBE | relaxed

- D(E_F) (states/eV/cell) = 0.57
- density (Mg/m³) = 8.30
- uncorrected formation energy (eV per atom) = -2.549
- SG = No. 65
- calculated volume (Å³/cell) = 169.6
- DFT total energy (eV/atom) = -7.929

Lattice parameters (Å, degrees): 5.0249 5.0239 6.7220 90.00 90.00 92.17
Fractional coordinates of all 12 atoms:
Ho: 0.5000 0.5000 0.7576
Ho: 0.5000 0.5000 0.2424
Ta: 0.0000 0.0000 0.0000
Bi: 0.0000 0.0000 0.5000
O: 0.1825 0.8168 0.2336
O: 0.7151 0.7159 0.0000
O: 0.8175 0.1832 0.2336
O: 0.8175 0.1832 0.7664
O: 0.2849 0.2841 0.0000
O: 0.1825 0.8168 0.7664
O: 0.7027 0.7033 0.5000
O: 0.2973 0.2967 0.5000



TbHoBi2O6 | PBE | relaxed

- D(E_F) (states/eV/cell) = 0.00
- density (Mg/m³) = 8.69
- uncorrected formation energy (eV per atom) = -2.376
- SG = No. 146
- calculated volume (Å³/cell) = 160.1
- DFT total energy (eV/atom) = -7.048

Lattice parameters (Å, degrees): 6.0285 6.0286 6.1632 60.72 60.72 59.99
Fractional coordinates of all 10 atoms:
Tb: 0.8077 0.8077 0.5769
Ho: 0.3088 0.3088 0.0735
Bi: 0.5219 0.5220 0.4342
Bi: 0.0216 0.0215 0.9353
O: 0.6208 0.1777 0.2484
O: 0.1777 0.9530 0.2485
O: 0.9531 0.6209 0.2483
O: 0.4488 0.6766 0.7501
O: 0.6766 0.1246 0.7501
O: 0.1247 0.4488 0.7500



TbHoBiO2 | PBE | relaxed

- D(E_F) (states/eV/cell) = 1.53
- density (Mg/m³) = 9.14
- uncorrected formation energy (eV per atom) = -2.689
- SG = No. 107
- calculated volume (Å³/cell) = 102.6
- DFT total energy (eV/atom) = -7.290

Lattice parameters (Å, degrees): 3.8873 3.8873 7.3259 105.39 105.39 90.00
Fractional coordinates of all 5 atoms:
Tb: 0.8322 0.8322 0.6645
Ho: 0.1690 0.1690 0.3381
Bi: 0.5010 0.5010 0.0020
O: 0.7489 0.2489 0.4977
O: 0.2489 0.7489 0.4977



HoTcBiO6 | PBE | relaxed

- D(E_F) (states/eV/cell) = 3.36
- density (Mg/m³) = 7.36
- uncorrected formation energy (eV per atom) = -1.868
- SG = No. 149
- calculated volume (Å³/cell) = 128.1
- DFT total energy (eV/atom) = -7.265

Lattice parameters (Å, degrees): 5.5126 5.5126 4.8661 90.00 90.00 60.00
Site moments in Bohr magnetons follow the coordinates.
Fractional coordinates of all 9 atoms:
Ho: 0.6666 0.6667 0.5000  0.01
Tc: 0.3333 0.3333 0.5000  0.72
Bi: 0.9999 0.0000 0.0000  0.04
O: 0.0385 0.3389 0.2745  0.01
O: 0.3389 0.0386 0.7255  0.01
O: 0.6225 0.3389 0.7255  0.01
O: 0.0384 0.6226 0.7255  0.01
O: 0.3388 0.6226 0.2745  0.01
O: 0.6226 0.0385 0.2745  0.01



Ho2BiTeO8 | PBE | relaxed

- D(E_F) (states/eV/cell) = 1.35
- density (Mg/m³) = 7.63
- uncorrected formation energy (eV per atom) = -2.096
- SG = No. 65
- calculated volume (Å³/cell) = 172.8
- DFT total energy (eV/atom) = -6.750

Lattice parameters (Å, degrees): 5.0097 5.0153 6.8838 90.00 90.00 92.02
Fractional coordinates of all 12 atoms:
Ho: 0.5000 0.5000 0.7586
Ho: 0.5000 0.5000 0.2414
Bi: 0.0000 0.0000 0.5000
Te: 0.0000 0.0000 0.0000
O: 0.1839 0.8174 0.2146
O: 0.7212 0.7202 0.0000
O: 0.8162 0.1827 0.2146
O: 0.8161 0.1826 0.7854
O: 0.2788 0.2798 0.0000
O: 0.1838 0.8173 0.7854
O: 0.6886 0.6880 0.5000
O: 0.3114 0.3120 0.5000



HoBiTeO6 | PBE | relaxed

- D(E_F) (states/eV/cell) = 0.00
- density (Mg/m³) = 7.53
- uncorrected formation energy (eV per atom) = -1.803
- SG = No. 163
- calculated volume (Å³/cell) = 263.7
- DFT total energy (eV/atom) = -6.397

Lattice parameters (Å, degrees): 5.6169 5.6169 9.6509 90.00 90.00 120.00
Fractional coordinates of all 18 atoms:
Ho: 0.3333 0.6667 0.2500
Ho: 0.6667 0.3333 0.7500
Bi: 0.0000 0.0000 0.0000
Bi: 0.0000 0.0000 0.5000
Te: 0.6667 0.3333 0.2500
Te: 0.3333 0.6667 0.7500
O: 0.6606 0.6207 0.1368
O: 0.9601 0.3394 0.1368
O: 0.3394 0.9601 0.6368
O: 0.0399 0.6606 0.8632
O: 0.3793 0.3394 0.3632
O: 0.9601 0.6207 0.3632
O: 0.6207 0.9601 0.8632
O: 0.6606 0.0399 0.3632
O: 0.0399 0.3793 0.6368
O: 0.3793 0.0399 0.1368
O: 0.6207 0.6606 0.6368
O: 0.3394 0.3793 0.8632



Ho2Tl2BiO6 | PBE | relaxed

- D(E_F) (states/eV/cell) = 5.26
- density (Mg/m³) = 8.41
- uncorrected formation energy (eV per atom) = -1.976
- SG = No. 12
- calculated volume (Å³/cell) = 206.2
- DFT total energy (eV/atom) = -6.296

Lattice parameters (Å, degrees): 6.0261 6.0261 6.8737 98.84 98.84 119.80
Fractional coordinates of all 11 atoms:
Ho: 0.3346 0.6654 0.5000
Ho: 0.6654 0.3346 0.5000
Tl: 0.8293 0.1707 0.0000
Tl: 0.1707 0.8293 0.0000
Bi: 0.0000 0.0000 0.5000
O: 0.7287 0.7287 0.6701
O: 0.0558 0.3947 0.6709
O: 0.2713 0.2713 0.3299
O: 0.3947 0.0558 0.6709
O: 0.9442 0.6053 0.3291
O: 0.6053 0.9442 0.3291



HoTlBi2O4 | PBE | relaxed

- D(E_F) (states/eV/cell) = 2.90
- density (Mg/m³) = 8.83
- uncorrected formation energy (eV per atom) = -1.645
- SG = No. 123
- calculated volume (Å³/cell) = 160.0
- DFT total energy (eV/atom) = -5.962

Lattice parameters (Å, degrees): 3.8976 3.8976 10.5329 90.00 90.00 90.00
Fractional coordinates of all 8 atoms:
Ho: 0.0000 0.0000 0.0000
Tl: 0.0000 0.0000 0.5000
Bi: 0.5000 0.5000 0.2382
Bi: 0.5000 0.5000 0.7618
O: 0.0000 0.5000 0.1303
O: 0.5000 0.0000 0.8697
O: 0.5000 0.0000 0.1303
O: 0.0000 0.5000 0.8697



HoTmBiO2 | PBE | relaxed

- D(E_F) (states/eV/cell) = 1.44
- density (Mg/m³) = 9.56
- uncorrected formation energy (eV per atom) = -2.708
- SG = No. 107
- calculated volume (Å³/cell) = 99.8
- DFT total energy (eV/atom) = -7.277

Lattice parameters (Å, degrees): 3.8517 3.8517 7.2596 105.38 105.38 90.00
Fractional coordinates of all 5 atoms:
Ho: 0.8315 0.8315 0.6629
Tm: 0.1698 0.1698 0.3396
Bi: 0.5010 0.5010 0.0020
O: 0.7489 0.2489 0.4977
O: 0.2489 0.7489 0.4977



HoUBiO6 | PBE | relaxed

- D(E_F) (states/eV/cell) = 0.00
- density (Mg/m³) = 8.37
- uncorrected formation energy (eV per atom) = -2.710
- SG = No. 163
- calculated volume (Å³/cell) = 280.8
- DFT total energy (eV/atom) = -8.209

Lattice parameters (Å, degrees): 5.8221 5.8221 9.5661 90.00 90.00 120.00
Fractional coordinates of all 18 atoms:
Ho: 0.3333 0.6667 0.2500
Ho: 0.6667 0.3333 0.7500
U: 0.6667 0.3333 0.2500
U: 0.3333 0.6667 0.7500
Bi: 0.0000 0.0000 0.0000
Bi: 0.0000 0.0000 0.5000
O: 0.6596 0.6381 0.1363
O: 0.9786 0.3404 0.1363
O: 0.3404 0.9786 0.6363
O: 0.0214 0.6596 0.8637
O: 0.3618 0.3404 0.3637
O: 0.9786 0.6381 0.3637
O: 0.6382 0.9786 0.8637
O: 0.6596 0.0214 0.3637
O: 0.0214 0.3619 0.6363
O: 0.3618 0.0214 0.1363
O: 0.6382 0.6596 0.6363
O: 0.3404 0.3619 0.8637